A plane-wave DFT calculation with PBE was carried out for a geometry-optimized AlTl2Pt structure.

Lattice parameters (Å, degrees): 9.5788 9.5788 7.1917 48.24 48.24 90.00
Closest atoms and distances in Å follow each position.
Fractional coordinates of all 8 atoms:
Tl1 0.7377 0.1250 0.2500  2 Pt 2.80
Tl2 0.0123 0.6250 0.2500  2 Pt 2.80
Tl3 0.3750 0.2623 0.7500  2 Pt 2.80
Tl4 0.8750 0.9877 0.7500  2 Pt 2.80
Al1 0.5000 0.5000 0.0000  2 Pt 2.42
Al2 0.2500 0.7500 0.5000  2 Pt 2.42
Pt1 0.0000 0.0000 0.0000  2 Al 2.42
Pt2 0.7500 0.2500 0.5000  2 Al 2.42

Calculated values
E above lowest polymorph   0.88 eV/f.u.
Formation enthalpy at 0 K   -9 kJ/mol of formula units

---

A plane-wave DFT calculation with PBE was carried out for a geometry-optimized AlTl2Pt structure.

Lattice parameters (Å, degrees): 3.5040 3.0816 8.9720 79.09 90.00 90.00
Closest atoms and distances in Å follow each position.
Fractional coordinates of all 4 atoms:
Tl1 0.0000 0.0853 0.9462  2 Tl 3.08, 2 Pt 3.11, 1 Al 3.32
Tl2 0.5000 0.1200 0.2976  2 Tl 3.08, 4 Al 3.31-3.42, 1 Pt 3.40
Al1 0.0000 0.4280 0.5724  4 Pt 2.53
Pt1 0.5000 0.8667 0.6838  4 Al 2.53

Calculated values
E above lowest polymorph   0.02 eV/f.u.
Formation enthalpy at 0 K   -93 kJ/mol of formula units

---

A plane-wave DFT calculation with PBE was carried out for a geometry-optimized AlTl2Pt structure.

Lattice parameters (Å, degrees): 5.4464 5.4464 5.4464 132.21 132.21 69.90
Closest atoms and distances in Å follow each position.
Fractional coordinates of all 4 atoms:
Tl1 0.0000 0.0000 0.0000  4 Tl 3.12, 4 Pt 3.14, 4 Al 3.14
Tl2 0.5000 0.5000 0.0000  4 Tl 3.12, 4 Al 3.14, 4 Pt 3.14
Al1 0.2500 0.7500 0.5000  4 Pt 3.12, 8 Tl 3.14
Pt1 0.7500 0.2500 0.5000  4 Al 3.12, 8 Tl 3.14

Calculated values
E above lowest polymorph   1.79 eV/f.u.
Formation enthalpy at 0 K   78 kJ/mol of formula units